[1]
Dy2NiRu: relaxed, GGA-PBEsol.

Output
Energy of formation   -137.2 kJ/mol of formula units
Total magnetic moment   0.0 μB/cell
Fermi-level density of states   2.376 states/eV/f.u.
Theoretical density   10.9 g/cm³

Unit cell a=4.7120 b=4.7120 c=4.7120 alpha=60.00 beta=60.00 gamma=60.00
With the nearest neighbours (Å) after each atom.
Atoms (fractional coordinates):
Dy (0.2500, 0.2500, 0.2500)  4 Ni 2.89, 4 Ru 2.89
Dy (0.7500, 0.7500, 0.7500)  4 Ru 2.89, 4 Ni 2.89
Ni (0.0000, 0.0000, 0.0000)  8 Dy 2.89
Ru (0.5000, 0.5000, 0.5000)  8 Dy 2.89

---

[2]
DyNi2Sb2: relaxed, GGA-PBEsol.

Output
Energy relative to the elements, uncorrected   -605 meV/atom
Total magnetic moment   0.0 μB/cell
Fermi-level density of states   1.947 states/eV/f.u.
Theoretical density   9.3 g/cm³

Unit cell a=4.3708 b=4.3708 c=9.7733 alpha=90.00 beta=90.00 gamma=90.00
With the nearest neighbours (Å) after each atom.
Atoms (fractional coordinates):
Dy (0.2500, 0.2500, 0.2355)  8 Ni 3.17-3.37, 9 Sb 3.27-3.53
Dy (0.7500, 0.7500, 0.7645)  8 Ni 3.17-3.37, 9 Sb 3.27-3.53
Ni (0.2500, 0.2500, 0.6263)  5 Sb 2.42-2.51
Ni (0.2500, 0.7500, 0.0000)  4 Sb 2.51
Ni (0.7500, 0.2500, 0.0000)  4 Sb 2.51
Ni (0.7500, 0.7500, 0.3737)  5 Sb 2.42-2.51
Sb (0.2500, 0.2500, 0.8739)  5 Ni 2.42-2.51
Sb (0.2500, 0.7500, 0.5000)  4 Ni 2.51
Sb (0.7500, 0.2500, 0.5000)  4 Ni 2.51
Sb (0.7500, 0.7500, 0.1261)  5 Ni 2.42-2.51

---

[3]
Dy2NiSb4: relaxed, GGA-PBEsol.

Output
Energy relative to the elements, uncorrected   -783 meV/atom
Total magnetic moment   0.0 μB/cell
Fermi-level density of states   3.360 states/eV/f.u.
Theoretical density   8.7 g/cm³

Unit cell a=4.2728 b=4.2728 c=9.1475 alpha=90.00 beta=90.00 gamma=90.00
With the nearest neighbours (Å) after each atom.
Atoms (fractional coordinates):
Dy (0.0000, 0.5000, 0.2333)  2 Ni 3.02, 9 Sb 3.16-3.35
Dy (0.5000, 0.0000, 0.7667)  2 Ni 3.02, 9 Sb 3.16-3.35
Ni (0.0000, 0.0000, 0.0000)  4 Sb 2.46
Sb (0.0000, 0.0000, 0.5000)  4 Sb 3.02, 4 Dy 3.24
Sb (0.0000, 0.5000, 0.8670)  2 Ni 2.46
Sb (0.5000, 0.0000, 0.1330)  2 Ni 2.46
Sb (0.5000, 0.5000, 0.5000)  4 Sb 3.02, 4 Dy 3.24

---

[4]
Dy5Ni2Sb: relaxed, GGA-PBEsol.

Output
Energy relative to the elements, uncorrected   -546 meV/atom
Total magnetic moment   0.0 μB/cell
Fermi-level density of states   6.934 states/eV/f.u.
Theoretical density   9.4 g/cm³

Unit cell a=8.4230 b=8.4230 c=8.4230 alpha=126.93 beta=126.93 gamma=78.37
With the nearest neighbours (Å) after each atom.
Atoms (fractional coordinates):
Dy (0.0000, 0.0000, 0.0000)  4 Ni 2.95, 2 Sb 3.26
Dy (0.0206, 0.5206, 0.8146)  3 Ni 2.81-2.89
Dy (0.2060, 0.0206, 0.5000)  3 Ni 2.81-2.89
Dy (0.2940, 0.7940, 0.8146)  3 Ni 2.81-2.89
Dy (0.4794, 0.2940, 0.5000)  3 Ni 2.81-2.89
Dy (0.5000, 0.5000, 0.0000)  4 Ni 2.95, 2 Sb 3.26
Dy (0.5206, 0.7060, 0.5000)  3 Ni 2.81-2.89
Dy (0.7060, 0.2060, 0.1854)  3 Ni 2.81-2.89
Dy (0.7940, 0.9794, 0.5000)  3 Ni 2.81-2.89
Dy (0.9794, 0.4794, 0.1854)  3 Ni 2.81-2.89
Ni (0.1296, 0.3704, 0.5000)  1 Ni 2.76, 8 Dy 2.81-2.95
Ni (0.3704, 0.8704, 0.2408)  1 Ni 2.76, 8 Dy 2.81-2.95
Ni (0.6296, 0.1296, 0.7592)  1 Ni 2.76, 8 Dy 2.81-2.95
Ni (0.8704, 0.6296, 0.5000)  1 Ni 2.76, 8 Dy 2.81-2.95
Sb (0.2500, 0.2500, 0.0000)  10 Dy 3.20-3.26
Sb (0.7500, 0.7500, 0.0000)  10 Dy 3.20-3.26

---

[5]
DyNiSb: relaxed, GGA-PBEsol.

Output
Energy relative to the elements, uncorrected   -949 meV/atom
Total magnetic moment   0.0 μB/cell
Fermi-level density of states   0.001 states/eV/f.u.
Theoretical density   9.3 g/cm³

Unit cell a=4.4227 b=4.4227 c=4.4227 alpha=60.00 beta=60.00 gamma=60.00
With the nearest neighbours (Å) after each atom.
Atoms (fractional coordinates):
Dy (0.0000, 0.0000, 0.0000)  4 Ni 2.71
Ni (0.2500, 0.2500, 0.2500)  4 Dy 2.71, 4 Sb 2.71
Sb (0.5000, 0.5000, 0.5000)  4 Ni 2.71

---

[6]
Dy3Si2Ni: relaxed, GGA-PBEsol.

Output
Energy relative to the elements, uncorrected   -772 meV/atom
Total magnetic moment   0.0 μB/cell
Fermi-level density of states   4.689 states/eV/f.u.
Theoretical density   8.0 g/cm³

Unit cell a=11.1393 b=4.0774 c=11.0523 alpha=90.00 beta=90.00 gamma=90.00
With the nearest neighbours (Å) after each atom.
Atoms (fractional coordinates):
Dy (0.0578, 0.2500, 0.1233)  1 Ni 2.79, 4 Si 2.93-2.94
Dy (0.1166, 0.7500, 0.5604)  3 Ni 2.87-2.97, 5 Si 2.92-2.99
Dy (0.2142, 0.2500, 0.8035)  2 Ni 2.76, 4 Si 2.90-2.96
Dy (0.2858, 0.7500, 0.3035)  2 Ni 2.76, 4 Si 2.90-2.96
Dy (0.3834, 0.2500, 0.0604)  3 Ni 2.87-2.97, 5 Si 2.92-2.99
Dy (0.4422, 0.7500, 0.6233)  1 Ni 2.79, 4 Si 2.93-2.94
Dy (0.5578, 0.2500, 0.3767)  1 Ni 2.79, 4 Si 2.93-2.94
Dy (0.6166, 0.7500, 0.9396)  3 Ni 2.87-2.97, 5 Si 2.92-2.99
Dy (0.7142, 0.2500, 0.6965)  2 Ni 2.76, 4 Si 2.90-2.96
Dy (0.7858, 0.7500, 0.1965)  2 Ni 2.76, 4 Si 2.90-2.96
Dy (0.8834, 0.2500, 0.4396)  3 Ni 2.87-2.97, 5 Si 2.92-2.99
Dy (0.9422, 0.7500, 0.8767)  1 Ni 2.79, 4 Si 2.93-2.94
Si (0.0256, 0.7500, 0.3121)  2 Ni 2.42
Si (0.1983, 0.7500, 0.9959)  1 Ni 2.40
Si (0.3017, 0.2500, 0.4959)  1 Ni 2.40
Si (0.4744, 0.2500, 0.8121)  2 Ni 2.42
Si (0.5256, 0.7500, 0.1879)  2 Ni 2.42
Si (0.6983, 0.7500, 0.5041)  1 Ni 2.40
Si (0.8017, 0.2500, 0.0041)  1 Ni 2.40
Si (0.9744, 0.2500, 0.6879)  2 Ni 2.42
Ni (0.1297, 0.2500, 0.3650)  3 Si 2.40-2.42
Ni (0.3703, 0.7500, 0.8650)  3 Si 2.40-2.42
Ni (0.6297, 0.2500, 0.1350)  3 Si 2.40-2.42
Ni (0.8703, 0.7500, 0.6350)  3 Si 2.40-2.42

---

[7]
DySi2Ni2: relaxed, GGA-PBEsol.

Output
Energy relative to the elements, uncorrected   -922 meV/atom
Total magnetic moment   0.0 μB/cell
Fermi-level density of states   3.306 states/eV/f.u.
Theoretical density   7.7 g/cm³

Unit cell a=5.4622 b=5.4622 c=5.4622 alpha=137.92 beta=137.92 gamma=61.02
With the nearest neighbours (Å) after each atom.
Atoms (fractional coordinates):
Dy (0.0000, 0.0000, 0.0000)  8 Si 3.02, 8 Ni 3.06
Si (0.3729, 0.3729, 0.0000)  4 Ni 2.28, 1 Si 2.39
Si (0.6271, 0.6271, 0.0000)  4 Ni 2.28, 1 Si 2.39
Ni (0.2500, 0.7500, 0.5000)  4 Si 2.28
Ni (0.7500, 0.2500, 0.5000)  4 Si 2.28

---

[8]
DySi3Ni5: relaxed, GGA-PBEsol.

Output
Energy relative to the elements, uncorrected   -784 meV/atom
Total magnetic moment   0.0 μB/cell
Fermi-level density of states   4.306 states/eV/f.u.
Theoretical density   7.9 g/cm³

Unit cell a=18.4792 b=3.7399 c=6.5621 alpha=90.00 beta=90.00 gamma=90.00
With the nearest neighbours (Å) after each atom.
Atoms (fractional coordinates):
Dy (0.1438, 0.2500, 0.1232)  6 Si 2.88-2.91, 10 Ni 2.93-3.18
Dy (0.3562, 0.7500, 0.6232)  6 Si 2.88-2.91, 10 Ni 2.93-3.18
Dy (0.6438, 0.2500, 0.3768)  6 Si 2.88-2.91, 10 Ni 2.93-3.18
Dy (0.8562, 0.7500, 0.8768)  6 Si 2.88-2.91, 10 Ni 2.93-3.18
Si (0.0743, 0.7500, 0.8456)  7 Ni 2.24-2.41
Si (0.0862, 0.7500, 0.4184)  7 Ni 2.23-2.45
Si (0.2374, 0.2500, 0.6206)  7 Ni 2.27-2.37
Si (0.2626, 0.7500, 0.1206)  7 Ni 2.27-2.37
Si (0.4138, 0.2500, 0.9184)  7 Ni 2.23-2.45
Si (0.4257, 0.2500, 0.3456)  7 Ni 2.24-2.41
Si (0.5743, 0.7500, 0.6544)  7 Ni 2.24-2.41
Si (0.5862, 0.7500, 0.0816)  7 Ni 2.23-2.45
Si (0.7374, 0.2500, 0.8794)  7 Ni 2.27-2.37
Si (0.7626, 0.7500, 0.3794)  7 Ni 2.27-2.37
Si (0.9138, 0.2500, 0.5816)  7 Ni 2.23-2.45
Si (0.9257, 0.2500, 0.1544)  7 Ni 2.24-2.41
Ni (0.0053, 0.7500, 0.1343)  4 Si 2.28-2.39, 2 Ni 2.50
Ni (0.0152, 0.2500, 0.3847)  4 Si 2.24-2.30, 4 Ni 2.47-2.50
Ni (0.1147, 0.2500, 0.6448)  5 Si 2.27-2.45, 1 Ni 2.51
Ni (0.1994, 0.7500, 0.8140)  4 Si 2.32-2.37, 1 Ni 2.53
Ni (0.2070, 0.7500, 0.4296)  4 Si 2.23-2.32
Ni (0.2930, 0.2500, 0.9296)  4 Si 2.23-2.32
Ni (0.3006, 0.2500, 0.3140)  4 Si 2.32-2.37, 1 Ni 2.53
Ni (0.3853, 0.7500, 0.1448)  5 Si 2.27-2.45, 1 Ni 2.51
Ni (0.4848, 0.7500, 0.8847)  4 Si 2.24-2.30, 4 Ni 2.47-2.50
Ni (0.4947, 0.2500, 0.6343)  4 Si 2.28-2.39, 2 Ni 2.50
Ni (0.5053, 0.7500, 0.3657)  4 Si 2.28-2.39, 2 Ni 2.50
Ni (0.5152, 0.2500, 0.1153)  4 Si 2.24-2.30, 4 Ni 2.47-2.50
Ni (0.6147, 0.2500, 0.8552)  5 Si 2.27-2.45, 1 Ni 2.51
Ni (0.6994, 0.7500, 0.6860)  4 Si 2.32-2.37, 1 Ni 2.53
Ni (0.7070, 0.7500, 0.0704)  4 Si 2.23-2.32
Ni (0.7930, 0.2500, 0.5704)  4 Si 2.23-2.32
Ni (0.8006, 0.2500, 0.1860)  4 Si 2.32-2.37, 1 Ni 2.53
Ni (0.8853, 0.7500, 0.3552)  5 Si 2.27-2.45, 1 Ni 2.51
Ni (0.9848, 0.7500, 0.6153)  4 Si 2.24-2.30, 4 Ni 2.47-2.50
Ni (0.9947, 0.2500, 0.8657)  4 Si 2.28-2.39, 2 Ni 2.50

---

[9]
Dy2Si5Ni3: relaxed, GGA-PBEsol.

Output
Energy relative to the elements, uncorrected   -885 meV/atom
Total magnetic moment   0.0 μB/cell
Fermi-level density of states   2.427 states/eV/f.u.
Theoretical density   7.3 g/cm³

Unit cell a=7.7773 b=7.7773 c=7.7773 alpha=104.99 beta=90.01 gamma=137.83
With the nearest neighbours (Å) after each atom.
Atoms (fractional coordinates):
Dy (0.1319, 0.2361, 0.3680)  10 Si 2.82-3.08, 4 Ni 2.95-3.15
Dy (0.3681, 0.7361, 0.1042)  10 Si 2.82-3.08, 4 Ni 2.95-3.15
Dy (0.6319, 0.2639, 0.8958)  10 Si 2.82-3.08, 4 Ni 2.95-3.15
Dy (0.8681, 0.7639, 0.6320)  10 Si 2.82-3.08, 4 Ni 2.95-3.15
Si (0.0163, 0.7500, 0.2663)  2 Ni 2.28, 2 Si 2.45
Si (0.1064, 0.6530, 0.7594)  3 Ni 2.24-2.33, 2 Si 2.45
Si (0.2500, 0.2500, 0.0000)  4 Ni 2.30
Si (0.3936, 0.1530, 0.5467)  3 Ni 2.24-2.33, 2 Si 2.45
Si (0.4837, 0.7500, 0.7337)  2 Ni 2.28, 2 Si 2.45
Si (0.5163, 0.2500, 0.2663)  2 Ni 2.28, 2 Si 2.45
Si (0.6064, 0.8470, 0.4533)  3 Ni 2.24-2.33, 2 Si 2.45
Si (0.7500, 0.7500, 0.0000)  4 Ni 2.30
Si (0.8936, 0.3470, 0.2406)  3 Ni 2.24-2.33, 2 Si 2.45
Si (0.9837, 0.2500, 0.7337)  2 Ni 2.28, 2 Si 2.45
Ni (0.1342, 0.8876, 0.0218)  5 Si 2.24-2.30
Ni (0.2500, 0.7500, 0.5000)  6 Si 2.33-2.57
Ni (0.3658, 0.3876, 0.7533)  5 Si 2.24-2.30
Ni (0.6342, 0.6124, 0.2467)  5 Si 2.24-2.30
Ni (0.7500, 0.2500, 0.5000)  6 Si 2.33-2.57
Ni (0.8658, 0.1124, 0.9782)  5 Si 2.24-2.30

---

[10]
DySiNi: relaxed, GGA-PBEsol.

Output
Energy relative to the elements, uncorrected   -870 meV/atom
Total magnetic moment   0.0 μB/cell
Fermi-level density of states   2.004 states/eV/f.u.
Theoretical density   8.4 g/cm³

Unit cell a=6.7912 b=4.1186 c=7.0278 alpha=90.00 beta=90.00 gamma=90.00
With the nearest neighbours (Å) after each atom.
Atoms (fractional coordinates):
Dy (0.0111, 0.2500, 0.1981)  6 Ni 2.83-3.13, 6 Si 2.88-3.00
Dy (0.4889, 0.7500, 0.6981)  6 Ni 2.83-3.13, 6 Si 2.88-3.00
Dy (0.5111, 0.2500, 0.3019)  6 Ni 2.83-3.13, 6 Si 2.88-3.00
Dy (0.9889, 0.7500, 0.8019)  6 Ni 2.83-3.13, 6 Si 2.88-3.00
Si (0.1877, 0.2500, 0.5885)  4 Ni 2.39-2.54
Si (0.3123, 0.7500, 0.0885)  4 Ni 2.39-2.54
Si (0.6877, 0.2500, 0.9115)  4 Ni 2.39-2.54
Si (0.8123, 0.7500, 0.4115)  4 Ni 2.39-2.54
Ni (0.1859, 0.7500, 0.4166)  4 Si 2.39-2.54
Ni (0.3141, 0.2500, 0.9166)  4 Si 2.39-2.54
Ni (0.6859, 0.7500, 0.0834)  4 Si 2.39-2.54
Ni (0.8141, 0.2500, 0.5834)  4 Si 2.39-2.54

---

[11]
Dy6Ni2Sn: relaxed, GGA-PBEsol.

Output
Energy of formation   -356.7 kJ/mol of formula units
Total magnetic moment   0.0 μB/cell
Fermi-level density of states   7.921 states/eV/f.u.
Theoretical density   9.3 g/cm³

Unit cell a=8.2758 b=8.2758 c=8.2758 alpha=113.33 beta=109.51 gamma=105.66
With the nearest neighbours (Å) after each atom.
Atoms (fractional coordinates):
Dy (0.0285, 0.2325, 0.7959)  1 Ni 2.72, 1 Sn 3.03
Dy (0.1827, 0.2928, 0.4755)  3 Ni 2.85-3.12, 1 Sn 3.18
Dy (0.1827, 0.7072, 0.8899)  3 Ni 2.85-3.12, 1 Sn 3.18
Dy (0.3247, 0.0157, 0.6911)  3 Ni 2.66-2.84
Dy (0.3247, 0.6336, 0.3089)  3 Ni 2.66-2.84
Dy (0.4366, 0.2325, 0.2041)  1 Ni 2.72, 1 Sn 3.03
Dy (0.5634, 0.7675, 0.7959)  1 Ni 2.72, 1 Sn 3.03
Dy (0.6753, 0.3664, 0.6911)  3 Ni 2.66-2.84
Dy (0.6753, 0.9843, 0.3089)  3 Ni 2.66-2.84
Dy (0.8173, 0.2928, 0.1101)  3 Ni 2.85-3.12, 1 Sn 3.18
Dy (0.8173, 0.7072, 0.5245)  3 Ni 2.85-3.12, 1 Sn 3.18
Dy (0.9715, 0.7675, 0.2041)  1 Ni 2.72, 1 Sn 3.03
Ni (0.1232, 0.6232, 0.5000)  1 Ni 2.46, 2 Dy 2.66
Ni (0.3522, 0.0000, 0.3522)  6 Dy 2.72-2.84, 1 Ni 2.82
Ni (0.6478, 0.0000, 0.6478)  6 Dy 2.72-2.84, 1 Ni 2.82
Ni (0.8768, 0.3768, 0.5000)  1 Ni 2.46, 2 Dy 2.66
Sn (0.0000, 0.0000, 0.0000)  8 Dy 3.03-3.18, 2 Ni 3.36
Sn (0.5000, 0.5000, 0.0000)  12 Dy 3.31-3.57

---

[12]
Dy2NiSn6: relaxed, GGA-PBEsol.

Output
Energy of formation   -459.7 kJ/mol of formula units
Total magnetic moment   0.0 μB/cell
Fermi-level density of states   3.246 states/eV/f.u.
Theoretical density   8.7 g/cm³

Unit cell a=11.3725 b=11.3725 c=4.3564 alpha=90.00 beta=90.00 gamma=158.20
With the nearest neighbours (Å) after each atom.
Atoms (fractional coordinates):
Dy (0.1774, 0.8226, 0.0000)  10 Sn 3.12-3.41
Dy (0.8226, 0.1774, 0.0000)  10 Sn 3.12-3.41
Ni (0.5000, 0.5000, 0.5000)  8 Sn 2.66-2.67
Sn (0.0702, 0.9298, 0.5000)  2 Ni 2.66
Sn (0.2950, 0.7050, 0.5000)  2 Sn 2.94, 4 Dy 3.12
Sn (0.4306, 0.5694, 0.0000)  2 Ni 2.67
Sn (0.5694, 0.4306, 0.0000)  2 Ni 2.67
Sn (0.7050, 0.2950, 0.5000)  2 Sn 2.94, 4 Dy 3.12
Sn (0.9298, 0.0702, 0.5000)  2 Ni 2.66